# 1
Computed, not measured: a crystal of ZnTcMo relaxed with PBEsol at the meta-GGA SCAN level of DFT.

```
ZnTcMo
1.0
4.164 0.000 0.000
2.082 3.606 0.000
2.082 1.202 3.400
Mo Tc Zn
1 1 1
Direct
0.250 0.250 0.250 Mo
0.000 0.000 0.000 Tc
0.500 0.500 0.500 Zn
```

- Energy relative to the elements: 0.720 eV/atom
- DOS(E_F): 1.09 states/eV per atom
- Excess energy over the best structure of this formula in the dataset: 736.1 meV/atom
- Total magnetic moment: 0.00 μB per formula unit
- V: 17.02 Å³ per atom

# 2
Computed, not measured: a crystal of ZnTcMo relaxed with PBEsol at the meta-GGA SCAN level of DFT.

```
ZnTcMo
1.0
-1.134 2.856 0.704
-1.128 -1.119 2.722
4.847 0.127 0.235
Zn Mo Tc
1 1 1
Direct
0.332 0.332 0.664 Zn
0.008 0.008 0.017 Mo
0.660 0.660 0.320 Tc
```

- Energy relative to the elements: -0.017 eV/atom
- DOS(E_F): 0.74 states/eV per atom
- Excess energy over the best structure of this formula in the dataset: 0.0 meV/atom
- Total magnetic moment: 0.00 μB per formula unit
- V: 14.28 Å³ per atom

# 3
Computed, not measured: a crystal of ZrTc2Mo relaxed with PBEsol at the meta-GGA SCAN level of DFT.

```
ZrTc2Mo
1.0
3.146 0.000 0.000
0.000 3.146 0.000
0.000 0.000 6.402
Mo Tc Zr
1 2 1
Direct
0.500 0.500 0.500 Mo
0.000 0.000 0.735 Tc
0.000 0.000 0.265 Tc
0.500 0.500 0.000 Zr
```

- Energy relative to the elements: -0.278 eV/atom
- DOS(E_F): 0.26 states/eV per atom
- Total magnetic moment: 0.00 μB per formula unit
- V: 15.84 Å³ per atom

# 4
Computed, not measured: a crystal of ZrTc3Mo relaxed with PBEsol at the meta-GGA SCAN level of DFT.

```
ZrTc3Mo
1.0
-1.285 2.939 -3.231
-1.172 -3.476 -2.696
-4.207 0.071 1.738
Mo Tc Zr
1 3 1
Direct
0.500 0.500 0.500 Mo
0.000 0.500 0.000 Tc
0.000 0.000 0.500 Tc
0.500 0.000 0.000 Tc
0.000 0.000 0.000 Zr
```

- Energy relative to the elements: 2.168 eV/atom
- DOS(E_F): 1.14 states/eV per atom
- Total magnetic moment: 0.81 μB per formula unit
- V: 18.87 Å³ per atom

# 5
Computed, not measured: a crystal of ZrTc2Mo relaxed with PBEsol at the meta-GGA SCAN level of DFT.

```
ZrTc2Mo
1.0
3.146 0.000 0.000
0.000 4.455 0.000
-1.573 -2.228 4.511
Mo Tc Zr
1 2 1
Direct
0.743 0.743 0.487 Mo
0.002 0.502 0.004 Tc
0.254 0.254 0.508 Tc
0.500 0.000 0.001 Zr
```

- Energy relative to the elements: -0.157 eV/atom
- DOS(E_F): 0.64 states/eV per atom
- Total magnetic moment: 0.00 μB per formula unit
- V: 15.81 Å³ per atom

# 6
Computed, not measured: a crystal of TeMo relaxed with PBEsol at the meta-GGA SCAN level of DFT.

```
TeMo
1.0
3.271 0.000 0.000
-1.636 2.833 0.000
0.000 0.000 8.103
Mo Te
2 2
Direct
0.667 0.333 0.750 Mo
0.333 0.667 0.250 Mo
0.000 0.000 0.000 Te
0.000 0.000 0.500 Te
```

- DOS(E_F): 1.23 states/eV per atom
- Excess energy over the best structure of this formula in the dataset: 263.4 meV/atom
- Total magnetic moment: 0.00 μB per formula unit
- V: 18.78 Å³ per atom